No. 1
The following is a DFT calculation (PBE-GGA) of a relaxed structure of Nd3Y8Ho2.

a = 10.7786 Å, b = 10.7786 Å, c = 5.6998 Å
α = 90.02°, β = 90.02°, γ = 42.14°
With the nearest neighbours (Å) after each atom.
Element x y z (fractional)
Nd  0.0000  0.0000  0.0000  4 Y 3.14
Nd  0.2916  0.7084  0.5000  1 Nd 3.23, 6 Y 3.54-3.59
Nd  0.7084  0.2916  0.5000  1 Nd 3.23, 6 Y 3.54-3.59
Y  0.1354  0.1354  0.4998  4 Nd 3.54-3.94, 2 Ho 3.56, 7 Y 3.67-3.95
Y  0.1823  0.6003  0.9999  1 Nd 3.14, 1 Y 3.24, 2 Ho 3.42-3.49
Y  0.3266  0.3266  0.4995  2 Ho 3.33, 4 Y 3.53
Y  0.3997  0.8177  0.0001  1 Nd 3.14, 1 Y 3.24, 2 Ho 3.42-3.49
Y  0.6003  0.1823  0.9999  1 Nd 3.14, 1 Y 3.24, 2 Ho 3.42-3.49
Y  0.6734  0.6734  0.5005  2 Ho 3.33, 4 Y 3.53
Y  0.8177  0.3997  0.0001  1 Nd 3.14, 1 Y 3.24, 2 Ho 3.42-3.49
Y  0.8646  0.8646  0.5002  4 Nd 3.54-3.94, 2 Ho 3.56, 7 Y 3.67-3.95
Ho  0.2413  0.2413  0.9994  8 Y 3.33-3.56
Ho  0.7587  0.7587  0.0006  8 Y 3.33-3.56

Summary:
Offset from the most stable computed form, eV/f.u.: 1.41
Size of the total moment, Bohr magnetons per cell: 0.0
Density, g cm⁻³: 5.5

=====

No. 2
The following is a DFT calculation (PBE-GGA) of a relaxed structure of Nd3Y5Ho2.

a = 9.7333 Å, b = 9.7333 Å, c = 9.3818 Å
α = 108.62°, β = 108.62°, γ = 112.56°
With the nearest neighbours (Å) after each atom.
Element x y z (fractional)
Nd  0.0206  0.2709  0.0467  1 Ho 3.13, 4 Y 3.31-3.50
Nd  0.2303  0.7697  0.7500  4 Ho 3.31-3.58, 3 Y 3.32-3.65, 2 Nd 3.53
Nd  0.2709  0.0206  0.5467  1 Ho 3.13, 4 Y 3.31-3.50
Nd  0.7291  0.9794  0.4533  1 Ho 3.13, 4 Y 3.31-3.50
Nd  0.7697  0.2303  0.2500  4 Ho 3.31-3.58, 3 Y 3.32-3.65, 2 Nd 3.53
Nd  0.9794  0.7291  0.9533  1 Ho 3.13, 4 Y 3.31-3.50
Y  0.0254  0.9746  0.7500  5 Nd 3.32-3.49, 2 Ho 3.47, 2 Y 3.57
Y  0.1396  0.3750  0.7629  2 Ho 3.48-3.57, 3 Nd 3.50-3.65, 3 Y 3.57-3.71
Y  0.2737  0.7263  0.2500  1 Y 3.21, 4 Nd 3.31-3.55, 2 Ho 3.58
Y  0.3750  0.1396  0.2629  2 Ho 3.48-3.57, 3 Nd 3.50-3.65, 3 Y 3.57-3.71
Y  0.4722  0.5278  0.2500  3 Y 3.21-3.58, 4 Ho 3.30-3.48, 2 Nd 3.52
Y  0.5278  0.4722  0.7500  3 Y 3.21-3.58, 4 Ho 3.30-3.48, 2 Nd 3.52
Y  0.6250  0.8604  0.7371  2 Ho 3.48-3.57, 3 Nd 3.50-3.65, 3 Y 3.57-3.71
Y  0.7263  0.2737  0.7500  1 Y 3.21, 4 Nd 3.31-3.55, 2 Ho 3.58
Y  0.8604  0.6250  0.2371  2 Ho 3.48-3.57, 3 Nd 3.50-3.65, 3 Y 3.57-3.71
Y  0.9746  0.0254  0.2500  5 Nd 3.32-3.49, 2 Ho 3.47, 2 Y 3.57
Ho  0.2296  0.4709  0.4547  2 Nd 3.13-3.31, 4 Y 3.30-3.48
Ho  0.4709  0.2296  0.9547  2 Nd 3.13-3.31, 4 Y 3.30-3.48
Ho  0.5291  0.7704  0.0453  2 Nd 3.13-3.31, 4 Y 3.30-3.48
Ho  0.7704  0.5291  0.5453  2 Nd 3.13-3.31, 4 Y 3.30-3.48

Summary:
Size of the total moment, Bohr magnetons per cell: 0.0
Density, g cm⁻³: 6.0

=====

No. 3
The following is a DFT calculation (PBE-GGA) of a relaxed structure of Nd2YHo2.

a = 8.5515 Å, b = 8.5515 Å, c = 6.8141 Å
α = 102.85°, β = 102.85°, γ = 43.58°
With the nearest neighbours (Å) after each atom.
Element x y z (fractional)
Nd  0.1136  0.2871  0.1535  2 Y 3.57-3.67, 5 Nd 3.57-3.65, 5 Ho 3.58-3.71
Nd  0.2871  0.1136  0.6535  2 Y 3.57-3.67, 5 Nd 3.57-3.65, 5 Ho 3.58-3.71
Nd  0.7129  0.8864  0.3465  2 Y 3.57-3.67, 5 Nd 3.57-3.65, 5 Ho 3.58-3.71
Nd  0.8864  0.7129  0.8465  2 Y 3.57-3.67, 5 Nd 3.57-3.65, 5 Ho 3.58-3.71
Y  0.0840  0.9160  0.2500  6 Ho 3.54-3.66, 4 Nd 3.57-3.67, 2 Y 3.57
Y  0.9160  0.0840  0.7500  6 Ho 3.54-3.66, 4 Nd 3.57-3.67, 2 Y 3.57
Ho  0.3210  0.4843  0.5491  4 Ho 3.47-3.61, 3 Y 3.54-3.66, 5 Nd 3.58-3.71
Ho  0.4843  0.3210  0.0491  4 Ho 3.47-3.61, 3 Y 3.54-3.66, 5 Nd 3.58-3.71
Ho  0.5157  0.6790  0.9509  4 Ho 3.47-3.61, 3 Y 3.54-3.66, 5 Nd 3.58-3.71
Ho  0.6790  0.5157  0.4509  4 Ho 3.47-3.61, 3 Y 3.54-3.66, 5 Nd 3.58-3.71

Summary:
Offset from the most stable computed form, eV/f.u.: 0.00
Size of the total moment, Bohr magnetons per cell: 0.0
Density, g cm⁻³: 7.0

=====

Number 1: DOS(E_F) 1.793 states/eV/atom, energy of formation 246.5 meV per atom, energy -5.54 eV per atom. Number 2: DOS(E_F) 1.853 states/eV/atom, energy of formation 184.1 meV per atom, energy -5.39 eV per atom. Number 3: DOS(E_F) 1.757 states/eV/atom, energy of formation 17.3 meV per atom, energy -5.01 eV per atom.